1.
# FeRe2Si PBE relaxed
data_FeRe2Si
_symmetry_space_group_name_H-M 'P m m m'
_symmetry_Int_Tables_number 47
_cell_length_a 3.019
_cell_length_b 4.104
_cell_length_c 4.350
_cell_angle_alpha 90.00
_cell_angle_beta 90.00
_cell_angle_gamma 90.00
loop_
_symmetry_equiv_pos_as_xyz
'x,y,z'
'-x,-y,-z'
'-x,-y,z'
'x,y,-z'
'x,-y,-z'
'-x,y,z'
'-x,y,-z'
'x,-y,z'
loop_
_atom_site_label
_atom_site_type_symbol
_atom_site_fract_x
_atom_site_fract_y
_atom_site_fract_z
Fe1 Fe 0.000 0.000 0.000
Re1 Re 0.000 0.500 0.500
Re2 Re 0.500 0.500 0.000
Si1 Si 0.500 0.000 0.500
# Fermi-level density of states	3.6	states/eV/cell
# formation energy without anion corrections	0.37	eV per formula unit

---

2.
# TbPr12Hg6 PBE relaxed
data_TbPr12Hg6
_symmetry_space_group_name_H-M 'R -3'
_symmetry_Int_Tables_number 148
_symmetry_space_group_name_Hall '-R 3'
_cell_length_a 11.5961
_cell_length_b 11.5961
_cell_length_c 14.9566
_cell_angle_alpha 90.00
_cell_angle_beta 90.00
_cell_angle_gamma 120.00
loop_
_atom_site_label
_atom_site_type_symbol
_atom_site_fract_x
_atom_site_fract_y
_atom_site_fract_z
Tb1 Tb 0.0000 0.0000 0.0000
Pr1 Pr 0.0482 0.8560 0.8028
Pr2 Pr 0.0571 0.2204 0.4099
Hg1 Hg 0.0362 0.5912 0.7105
# Fermi-level density of states	68.3	states/eV/cell
# E_form	-0.199	eV/atom

---

3.
# ZnFe2Co PBE relaxed
data_ZnFe2Co
_symmetry_space_group_name_H-M 'I -4 2 d'
_symmetry_Int_Tables_number 122
_symmetry_space_group_name_Hall 'I -4 2bw'
_cell_length_a 6.490
_cell_length_b 6.490
_cell_length_c 4.711
_cell_angle_alpha 90.00
_cell_angle_beta 90.00
_cell_angle_gamma 90.00
loop_
_atom_site_label
_atom_site_type_symbol
_atom_site_fract_x
_atom_site_fract_y
_atom_site_fract_z
Zn1 Zn 0.000 0.000 0.000
Fe1 Fe 0.207 0.750 0.625
Co1 Co 0.000 0.000 0.500
# Fermi-level density of states	25.9	states/eV/cell
# E_form	0.726	eV/atom

---

4.
# PmGe2Ir PBE relaxed
data_PmGe2Ir
_symmetry_space_group_name_H-M 'P n m a'
_symmetry_Int_Tables_number 62
_cell_length_a 6.774
_cell_length_b 4.413
_cell_length_c 10.361
_cell_angle_alpha 90.00
_cell_angle_beta 90.00
_cell_angle_gamma 90.00
loop_
_symmetry_equiv_pos_as_xyz
'x,y,z'
'-x,-y,-z'
'-x+1/2,-y,z+1/2'
'x+1/2,y,-z+1/2'
'x+1/2,-y+1/2,-z+1/2'
'-x+1/2,y+1/2,z+1/2'
'-x,y+1/2,-z'
'x,-y+1/2,z'
loop_
_atom_site_label
_atom_site_type_symbol
_atom_site_fract_x
_atom_site_fract_y
_atom_site_fract_z
Pm1 Pm 0.238 0.250 0.177
Ge1 Ge 0.044 0.750 0.337
Ge2 Ge 0.248 0.750 0.969
Ir1 Ir 0.086 0.250 0.900
# Fermi-level density of states	4.1	states/eV/cell
# E_form	-0.649	eV/atom

---

5.
# Ho3H2 PBE relaxed
data_Ho3H2
_symmetry_space_group_name_H-M 'R -3 c'
_symmetry_Int_Tables_number 167
_symmetry_space_group_name_Hall '-R 3 2"c'
_cell_length_a 6.2518
_cell_length_b 6.2518
_cell_length_c 16.4018
_cell_angle_alpha 90.00
_cell_angle_beta 90.00
_cell_angle_gamma 120.00
loop_
_atom_site_label
_atom_site_type_symbol
_atom_site_fract_x
_atom_site_fract_y
_atom_site_fract_z
Ho1 Ho 0.0000 0.3323 0.2500
H1 H 0.0000 0.0000 0.1677
# Fermi-level density of states	24.3	states/eV/cell
# uncorrected energy	-0.16104	hartree per atom

---

6.
# GeMo3Ru PBE relaxed
data_GeMo3Ru
_symmetry_space_group_name_H-M 'P m -3 m'
_symmetry_Int_Tables_number 221
_symmetry_space_group_name_Hall '-P 4 2 3'
_cell_length_a 4.763
_cell_length_b 4.763
_cell_length_c 4.763
_cell_angle_alpha 90.00
_cell_angle_beta 90.00
_cell_angle_gamma 90.00
loop_
_atom_site_label
_atom_site_type_symbol
_atom_site_fract_x
_atom_site_fract_y
_atom_site_fract_z
Ge1 Ge 0.000 0.000 0.000
Mo1 Mo 0.000 0.500 0.500
Ru1 Ru 0.500 0.500 0.500
# Fermi-level density of states	6.2	states/eV/cell
# E_form	1.608	eV/atom

---

7.
# PmNb2Si2 PBE relaxed
data_PmNb2Si2
_symmetry_space_group_name_H-M 'I 4/m m m'
_symmetry_Int_Tables_number 139
_symmetry_space_group_name_Hall '-I 4 2'
_cell_length_a 4.059
_cell_length_b 4.059
_cell_length_c 11.798
_cell_angle_alpha 90.00
_cell_angle_beta 90.00
_cell_angle_gamma 90.00
loop_
_atom_site_label
_atom_site_type_symbol
_atom_site_fract_x
_atom_site_fract_y
_atom_site_fract_z
Pm1 Pm 0.000 0.000 0.000
Nb1 Nb 0.000 0.500 0.250
Si1 Si 0.000 0.000 0.397
# Fermi-level density of states	4.7	states/eV/cell
# formation energy without anion corrections	-3.36	eV per formula unit

---

8.
# DySc2S PBE relaxed
data_DySc2S
_symmetry_space_group_name_H-M 'R 3 m'
_symmetry_Int_Tables_number 160
_symmetry_space_group_name_Hall 'R 3 -2"'
_cell_length_a 3.5508
_cell_length_b 3.5508
_cell_length_c 25.8846
_cell_angle_alpha 90.00
_cell_angle_beta 90.00
_cell_angle_gamma 120.00
loop_
_atom_site_label
_atom_site_type_symbol
_atom_site_fract_x
_atom_site_fract_y
_atom_site_fract_z
Dy1 Dy 0.0000 0.0000 0.0000
Sc1 Sc 0.0000 0.0000 0.5592
Sc2 Sc 0.0000 0.0000 0.7746
S1 S 0.0000 0.0000 0.1667
# Fermi-level density of states	9.9	states/eV/cell
# formation energy without anion corrections	-3.63	eV per formula unit

---

9.
# CuAgSbS2 PBE relaxed
data_CuAgSbS2
_symmetry_space_group_name_H-M 'P 4/m m m'
_symmetry_Int_Tables_number 123
_symmetry_space_group_name_Hall '-P 4 2'
_cell_length_a 4.729
_cell_length_b 4.729
_cell_length_c 5.576
_cell_angle_alpha 90.00
_cell_angle_beta 90.00
_cell_angle_gamma 90.00
loop_
_atom_site_label
_atom_site_type_symbol
_atom_site_fract_x
_atom_site_fract_y
_atom_site_fract_z
Cu1 Cu 0.000 0.000 0.000
Ag1 Ag 0.500 0.500 0.500
Sb1 Sb 0.500 0.500 0.000
S1 S 0.000 0.500 0.500
# Fermi-level density of states	5.2	states/eV/cell
# formation energy without anion corrections	4.85	eV per formula unit

---

10.
# Cu3TcH PBE relaxed
data_Cu3TcH
_symmetry_space_group_name_H-M 'P m -3 m'
_symmetry_Int_Tables_number 221
_symmetry_space_group_name_Hall '-P 4 2 3'
_cell_length_a 3.761
_cell_length_b 3.761
_cell_length_c 3.761
_cell_angle_alpha 90.00
_cell_angle_beta 90.00
_cell_angle_gamma 90.00
loop_
_atom_site_label
_atom_site_type_symbol
_atom_site_fract_x
_atom_site_fract_y
_atom_site_fract_z
Cu1 Cu 0.000 0.000 0.500
Tc1 Tc 0.500 0.500 0.500
H1 H 0.000 0.000 0.000
# Fermi-level density of states	2.4	states/eV/cell
# uncorrected energy	-0.17497	hartree per atom

---

11.
# BeGa2Te4 PBE relaxed
data_BeGa2Te4
_symmetry_space_group_name_H-M 'P -4 2 m'
_symmetry_Int_Tables_number 111
_cell_length_a 5.933
_cell_length_b 5.933
_cell_length_c 5.828
_cell_angle_alpha 90.00
_cell_angle_beta 90.00
_cell_angle_gamma 90.00
loop_
_symmetry_equiv_pos_as_xyz
'x,y,z'
'y,-x,-z'
'-x,-y,z'
'-y,x,-z'
'x,-y,-z'
'y,x,z'
'-x,y,-z'
'-y,-x,z'
loop_
_atom_site_label
_atom_site_type_symbol
_atom_site_fract_x
_atom_site_fract_y
_atom_site_fract_z
Be1 Be 0.000 0.000 0.000
Ga1 Ga 0.000 0.500 0.500
Te1 Te 0.257 0.257 0.216
# Fermi-level density of states	0.0	states/eV/cell
# formation energy without anion corrections	-2.32	eV per formula unit

---

12.
# Pr2ZrSc PBE relaxed
data_Pr2ZrSc
_symmetry_space_group_name_H-M 'R 3 m'
_symmetry_Int_Tables_number 160
_symmetry_space_group_name_Hall 'R 3 -2"'
_cell_length_a 3.4733
_cell_length_b 3.4733
_cell_length_c 33.5446
_cell_angle_alpha 90.00
_cell_angle_beta 90.00
_cell_angle_gamma 120.00
loop_
_atom_site_label
_atom_site_type_symbol
_atom_site_fract_x
_atom_site_fract_y
_atom_site_fract_z
Pr1 Pr 0.0000 0.0000 0.0000
Pr2 Pr 0.0000 0.0000 0.1642
Zr1 Zr 0.0000 0.0000 0.4152
Sc1 Sc 0.0000 0.0000 0.5833
# Fermi-level density of states	18.6	states/eV/cell
# E_form	0.168	eV/atom

---

13.
# Pm3YRu PBE relaxed
data_Pm3YRu
_symmetry_space_group_name_H-M 'P m n 21'
_symmetry_Int_Tables_number 31
_cell_length_a 7.744
_cell_length_b 6.550
_cell_length_c 6.363
_cell_angle_alpha 90.00
_cell_angle_beta 90.00
_cell_angle_gamma 90.00
loop_
_symmetry_equiv_pos_as_xyz
'x,y,z'
'-x+1/2,-y,z+1/2'
'-x,y,z'
'x+1/2,-y,z+1/2'
loop_
_atom_site_label
_atom_site_type_symbol
_atom_site_fract_x
_atom_site_fract_y
_atom_site_fract_z
Pm1 Pm 0.000 0.157 0.000
Pm2 Pm 0.250 0.319 0.503
Y1 Y 0.000 0.837 0.506
Ru1 Ru 0.000 0.501 0.253
# Fermi-level density of states	13.6	states/eV/cell
# E_form	-0.077	eV/atom

---

14.
# TbHoSn6 PBE relaxed
data_TbHoSn6
_symmetry_space_group_name_H-M 'P 4/m m m'
_symmetry_Int_Tables_number 123
_symmetry_space_group_name_Hall '-P 4 2'
_cell_length_a 4.685
_cell_length_b 4.685
_cell_length_c 9.556
_cell_angle_alpha 90.00
_cell_angle_beta 90.00
_cell_angle_gamma 90.00
loop_
_atom_site_label
_atom_site_type_symbol
_atom_site_fract_x
_atom_site_fract_y
_atom_site_fract_z
Tb1 Tb 0.000 0.000 0.000
Ho1 Ho 0.000 0.000 0.500
Sn1 Sn 0.000 0.500 0.251
Sn2 Sn 0.500 0.500 0.000
Sn3 Sn 0.500 0.500 0.500
# Fermi-level density of states	4.9	states/eV/cell
# E_form	-0.421	eV/atom

---

15.
# Ba3Ca12Mg PBE relaxed
data_Ba3Ca12Mg
_symmetry_space_group_name_H-M 'P 4/m m m'
_symmetry_Int_Tables_number 123
_symmetry_space_group_name_Hall '-P 4 2'
_cell_length_a 5.892
_cell_length_b 5.892
_cell_length_c 20.440
_cell_angle_alpha 90.00
_cell_angle_beta 90.00
_cell_angle_gamma 90.00
loop_
_atom_site_label
_atom_site_type_symbol
_atom_site_fract_x
_atom_site_fract_y
_atom_site_fract_z
Ba1 Ba 0.000 0.000 0.000
Ba2 Ba 0.000 0.000 0.268
Ca1 Ca 0.000 0.500 0.134
Ca2 Ca 0.000 0.500 0.401
Ca3 Ca 0.500 0.500 0.000
Ca4 Ca 0.500 0.500 0.270
Ca5 Ca 0.500 0.500 0.500
Mg1 Mg 0.000 0.000 0.500
# Fermi-level density of states	19.2	states/eV/cell
# E_form	0.027	eV/atom

---

16.
# BaScRh PBE relaxed
data_BaScRh
_symmetry_space_group_name_H-M 'F -4 3 m'
_symmetry_Int_Tables_number 216
_symmetry_space_group_name_Hall 'F -4 2 3'
_cell_length_a 7.011
_cell_length_b 7.011
_cell_length_c 7.011
_cell_angle_alpha 90.00
_cell_angle_beta 90.00
_cell_angle_gamma 90.00
loop_
_atom_site_label
_atom_site_type_symbol
_atom_site_fract_x
_atom_site_fract_y
_atom_site_fract_z
Ba1 Ba 0.000 0.000 0.000
Sc1 Sc 0.000 0.000 0.500
Rh1 Rh 0.250 0.250 0.250
# Fermi-level density of states	7.9	states/eV/cell
# E_form	-0.031	eV/atom

---

17.
# Ce2HoUP4 PBE relaxed
data_Ce2HoUP4
_symmetry_space_group_name_H-M 'P 1 2/m 1'
_symmetry_Int_Tables_number 10
_cell_length_a 6.977
_cell_length_b 4.017
_cell_length_c 6.977
_cell_angle_alpha 90.00
_cell_angle_beta 109.32
_cell_angle_gamma 90.00
loop_
_symmetry_equiv_pos_as_xyz
'x,y,z'
'-x,-y,-z'
'-x,y,-z'
'x,-y,z'
loop_
_atom_site_label
_atom_site_type_symbol
_atom_site_fract_x
_atom_site_fract_y
_atom_site_fract_z
Ce1 Ce 0.000 0.000 0.000
Ce2 Ce 0.000 0.500 0.500
Ho1 Ho 0.500 0.000 0.500
U1 U 0.500 0.500 0.000
P1 P 0.259 0.500 0.249
P2 P 0.261 0.000 0.756
# Fermi-level density of states	14.0	states/eV/cell
# E_form	-1.389	eV/atom

---

18.
# CsK7Rb3 PBE relaxed
data_CsK7Rb3
_symmetry_space_group_name_H-M 'P 3 m 1'
_symmetry_Int_Tables_number 156
_cell_length_a 9.6186
_cell_length_b 9.6186
_cell_length_c 11.6793
_cell_angle_alpha 90.00
_cell_angle_beta 90.00
_cell_angle_gamma 120.00
loop_
_symmetry_equiv_pos_as_xyz
'x,y,z'
'-y,x-y,z'
'-x+y,-x,z'
'-y,-x,z'
'-x+y,y,z'
'x,x-y,z'
loop_
_atom_site_label
_atom_site_type_symbol
_atom_site_fract_x
_atom_site_fract_y
_atom_site_fract_z
Cs1 Cs 0.0000 0.0000 0.0000
K1 K 0.3333 0.6667 0.7160
K2 K 0.3484 0.1742 0.6820
K3 K 0.5044 0.0087 0.0274
Rb1 Rb 0.1686 0.3372 0.3640
# Fermi-level density of states	10.9	states/eV/cell
# E_form	0.041	eV/atom

---

19.
# Tl3CuH PBE relaxed
data_Tl3CuH
_symmetry_space_group_name_H-M 'P m -3 m'
_symmetry_Int_Tables_number 221
_symmetry_space_group_name_Hall '-P 4 2 3'
_cell_length_a 5.254
_cell_length_b 5.254
_cell_length_c 5.254
_cell_angle_alpha 90.00
_cell_angle_beta 90.00
_cell_angle_gamma 90.00
loop_
_atom_site_label
_atom_site_type_symbol
_atom_site_fract_x
_atom_site_fract_y
_atom_site_fract_z
Tl1 Tl 0.000 0.000 0.500
Cu1 Cu 0.000 0.000 0.000
H1 H 0.500 0.500 0.500
# Fermi-level density of states	1.9	states/eV/cell
# uncorrected energy	-0.08821	hartree per atom

---

20.
# PRhI3 PBE relaxed
data_PRhI3
_symmetry_space_group_name_H-M 'P m -3 m'
_symmetry_Int_Tables_number 221
_symmetry_space_group_name_Hall '-P 4 2 3'
_cell_length_a 5.469
_cell_length_b 5.469
_cell_length_c 5.469
_cell_angle_alpha 90.00
_cell_angle_beta 90.00
_cell_angle_gamma 90.00
loop_
_atom_site_label
_atom_site_type_symbol
_atom_site_fract_x
_atom_site_fract_y
_atom_site_fract_z
P1 P 0.000 0.000 0.000
Rh1 Rh 0.500 0.500 0.500
I1 I 0.000 0.000 0.500
# Fermi-level density of states	7.2	states/eV/cell
# formation energy without anion corrections	4.54	eV per formula unit